(1)
# NbSbCl2 (GGA-PBE, optimized geometry)
data_NbSbCl2
_cell_length_a 4.818
_cell_length_b 4.818
_cell_length_c 4.818
_cell_angle_alpha 60.00
_cell_angle_beta 60.00
_cell_angle_gamma 60.00
_space_group_name_H-M_alt 'P 1'
_space_group_IT_number 1
_space_group_name_Hall 'P 1'
loop_
_atom_site_label
_atom_site_type_symbol
_atom_site_fract_x
_atom_site_fract_y
_atom_site_fract_z
Nb1 Nb 0.000 0.000 0.000
Sb1 Sb 0.500 0.500 0.500
Cl1 Cl 0.250 0.250 0.250
Cl2 Cl 0.750 0.750 0.750
# Space group: Fm-3m
# ΔE to the lowest computed polymorph in eV per atom: 0.943

(2)
# NbSb2TeCl (GGA-PBE, optimized geometry)
data_NbSb2TeCl
_cell_length_a 5.159
_cell_length_b 5.159
_cell_length_c 5.289
_cell_angle_alpha 90.00
_cell_angle_beta 90.00
_cell_angle_gamma 90.00
_space_group_name_H-M_alt 'P 1'
_space_group_IT_number 1
_space_group_name_Hall 'P 1'
loop_
_atom_site_label
_atom_site_type_symbol
_atom_site_fract_x
_atom_site_fract_y
_atom_site_fract_z
Nb1 Nb 0.000 0.000 0.000
Sb1 Sb 0.000 0.500 0.500
Sb2 Sb 0.500 0.000 0.500
Te1 Te 0.500 0.500 0.000
Cl1 Cl 0.500 0.500 0.500
# Space group: P4/mmm
# ΔE to the lowest computed polymorph in eV per atom: 0.987

(3)
# NbSbTe2Cl (GGA-PBE, optimized geometry)
data_NbSbTe2Cl
_cell_length_a 5.362
_cell_length_b 5.362
_cell_length_c 5.080
_cell_angle_alpha 90.00
_cell_angle_beta 90.00
_cell_angle_gamma 90.00
_space_group_name_H-M_alt 'P 1'
_space_group_IT_number 1
_space_group_name_Hall 'P 1'
loop_
_atom_site_label
_atom_site_type_symbol
_atom_site_fract_x
_atom_site_fract_y
_atom_site_fract_z
Nb1 Nb 0.000 0.000 0.000
Sb1 Sb 0.500 0.500 0.000
Te1 Te 0.000 0.500 0.500
Te2 Te 0.500 0.000 0.500
Cl1 Cl 0.500 0.500 0.500
# Space group: P4/mmm
# ΔE to the lowest computed polymorph in eV per atom: 1.027

(4)
# NbSbTe2Cl (GGA-PBE, optimized geometry)
data_NbSbTe2Cl
_cell_length_a 5.324
_cell_length_b 5.324
_cell_length_c 5.468
_cell_angle_alpha 90.00
_cell_angle_beta 90.00
_cell_angle_gamma 90.00
_space_group_name_H-M_alt 'P 1'
_space_group_IT_number 1
_space_group_name_Hall 'P 1'
loop_
_atom_site_label
_atom_site_type_symbol
_atom_site_fract_x
_atom_site_fract_y
_atom_site_fract_z
Nb1 Nb 0.000 0.000 0.000
Sb1 Sb 0.000 0.000 0.500
Te1 Te 0.000 0.500 0.000
Te2 Te 0.500 0.000 0.000
Cl1 Cl 0.500 0.500 0.500
# Space group: P4/mmm
# ΔE to the lowest computed polymorph in eV per atom: 0.000

(5)
# NbSb2TeCl (GGA-PBE, optimized geometry)
data_NbSb2TeCl
_cell_length_a 5.380
_cell_length_b 5.380
_cell_length_c 5.298
_cell_angle_alpha 90.00
_cell_angle_beta 90.00
_cell_angle_gamma 90.00
_space_group_name_H-M_alt 'P 1'
_space_group_IT_number 1
_space_group_name_Hall 'P 1'
loop_
_atom_site_label
_atom_site_type_symbol
_atom_site_fract_x
_atom_site_fract_y
_atom_site_fract_z
Nb1 Nb 0.000 0.000 0.000
Sb1 Sb 0.000 0.500 0.000
Sb2 Sb 0.500 0.000 0.000
Te1 Te 0.000 0.000 0.500
Cl1 Cl 0.500 0.500 0.500
# Space group: P4/mmm
# ΔE to the lowest computed polymorph in eV per atom: 0.000

(6)
# NbSbW2Cl (GGA-PBE, optimized geometry)
data_NbSbW2Cl
_cell_length_a 4.909
_cell_length_b 4.909
_cell_length_c 5.346
_cell_angle_alpha 90.00
_cell_angle_beta 90.00
_cell_angle_gamma 90.00
_space_group_name_H-M_alt 'P 1'
_space_group_IT_number 1
_space_group_name_Hall 'P 1'
loop_
_atom_site_label
_atom_site_type_symbol
_atom_site_fract_x
_atom_site_fract_y
_atom_site_fract_z
Nb1 Nb 0.000 0.000 0.000
Sb1 Sb 0.000 0.000 0.500
W1 W 0.000 0.500 0.000
W2 W 0.500 0.000 0.000
Cl1 Cl 0.500 0.500 0.500
# Space group: P4/mmm

(7)
# ZrNbSbCl2 (GGA-PBE, optimized geometry)
data_ZrNbSbCl2
_cell_length_a 5.032
_cell_length_b 5.032
_cell_length_c 6.095
_cell_angle_alpha 90.00
_cell_angle_beta 90.00
_cell_angle_gamma 90.00
_space_group_name_H-M_alt 'P 1'
_space_group_IT_number 1
_space_group_name_Hall 'P 1'
loop_
_atom_site_label
_atom_site_type_symbol
_atom_site_fract_x
_atom_site_fract_y
_atom_site_fract_z
Zr1 Zr 0.000 0.000 0.000
Nb1 Nb 0.500 0.500 0.000
Sb1 Sb 0.000 0.000 0.500
Cl1 Cl 0.000 0.500 0.500
Cl2 Cl 0.500 0.000 0.500
# Space group: P4/mmm

(8)
# ScNb2Cl (GGA-PBE, optimized geometry)
data_ScNb2Cl
_cell_length_a 4.723
_cell_length_b 4.723
_cell_length_c 4.723
_cell_angle_alpha 60.00
_cell_angle_beta 60.00
_cell_angle_gamma 60.00
_space_group_name_H-M_alt 'P 1'
_space_group_IT_number 1
_space_group_name_Hall 'P 1'
loop_
_atom_site_label
_atom_site_type_symbol
_atom_site_fract_x
_atom_site_fract_y
_atom_site_fract_z
Sc1 Sc 0.000 0.000 0.000
Nb1 Nb 0.250 0.250 0.250
Nb2 Nb 0.750 0.750 0.750
Cl1 Cl 0.500 0.500 0.500
# Space group: Fm-3m
# ΔE to the lowest computed polymorph in eV per atom: 0.657

| no. | E_form (uncorrected) (eV per atom) |
| --- | --- |
| 1 | 0.36 |
| 2 | 1.06 |
| 3 | 1.07 |
| 4 | 0.05 |
| 5 | 0.08 |
| 6 | 1.92 |
| 7 | 1.02 |
| 8 | 0.85 |